Entry 1:
VASP calculation (PBE-GGA) on a geometry-optimized ZrTaGa structure.

a b c (Å): 5.193 5.193 5.193
angles (deg): 140.51 140.51 57.09
Positions (direct):
Zr 0.000 0.000 0.000
Ta 0.317 0.317 0.000
Ga 0.671 0.671 0.000

Values from the calculation:
Final energy in eV per atom: -7.98
Crystal system: tetragonal



Entry 2:
VASP calculation (PBE-GGA) on a geometry-optimized CePrMg structure.

a b c (Å): 7.962 7.962 7.962
angles (deg): 154.94 154.94 35.73
Positions (direct):
Ce 0.000 0.000 0.000
Pr 0.322 0.322 0.000
Mg 0.658 0.658 0.000

Values from the calculation:
Final energy in eV per atom: -4.05
Crystal system: tetragonal



Entry 3:
VASP calculation (PBE-GGA) on a geometry-optimized Na2Be2GeO6 structure.

a b c (Å): 4.996 4.996 5.731
angles (deg): 90.00 90.00 120.00
Positions (direct):
Na 0.333 0.667 0.406
Na 0.667 0.333 0.594
Be 0.333 0.667 0.871
Be 0.667 0.333 0.129
Ge 0.000 0.000 0.000
O 0.053 0.712 0.812
O 0.288 0.341 0.812
O 0.341 0.053 0.188
O 0.659 0.947 0.812
O 0.712 0.659 0.188
O 0.947 0.288 0.188

Values from the calculation:
Final energy in eV per atom: -5.62
Formation energy from raw total energies in kJ/mol of formula units: -1677.7
Crystal system: trigonal



Entry 4:
VASP calculation (PBE-GGA) on a geometry-optimized Al2NiBr structure.

a b c (Å): 4.292 3.737 5.725
angles (deg): 90.00 90.50 90.00
Positions (direct):
Al 0.000 0.000 0.000
Al 0.498 0.500 0.913
Ni 0.502 0.000 0.158
Br 0.508 0.500 0.470

Values from the calculation:
Final energy in eV per atom: -3.82
Formation energy from raw total energies in kJ/mol of formula units: -34.6
Crystal system: monoclinic



Entry 5:
VASP calculation (PBE-GGA) on a geometry-optimized Dy2Sc3Hg4 structure.

a b c (Å): 9.137 9.137 7.871
angles (deg): 90.00 90.00 137.53
Positions (direct):
Dy 0.099 0.901 0.906
Dy 0.401 0.599 0.406
Dy 0.599 0.401 0.594
Dy 0.901 0.099 0.094
Sc 0.000 0.000 0.500
Sc 0.013 0.487 0.750
Sc 0.487 0.013 0.250
Sc 0.500 0.500 0.000
Sc 0.513 0.987 0.750
Sc 0.987 0.513 0.250
Hg 0.170 0.830 0.529
Hg 0.186 0.314 0.750
Hg 0.314 0.186 0.250
Hg 0.330 0.670 0.029
Hg 0.670 0.330 0.971
Hg 0.686 0.814 0.750
Hg 0.814 0.686 0.250
Hg 0.830 0.170 0.471

Values from the calculation:
Final energy in eV per atom: -3.61
Crystal system: orthorhombic



Entry 6:
VASP calculation (PBE-GGA) on a geometry-optimized CaNi2Hg structure.

a b c (Å): 4.592 4.592 4.592
angles (deg): 60.00 60.00 60.00
Positions (direct):
Ca 0.000 0.000 0.000
Ni 0.250 0.250 0.250
Ni 0.750 0.750 0.750
Hg 0.500 0.500 0.500

Values from the calculation:
Final energy in eV per atom: -3.43
Crystal system: cubic



Entry 7:
VASP calculation (PBE-GGA) on a geometry-optimized Tl2InSn6 structure.

a b c (Å): 6.379 6.379 6.379
angles (deg): 96.51 96.51 96.51
Positions (direct):
Tl 0.168 0.168 0.168
Tl 0.832 0.832 0.832
In 0.500 0.500 0.500
Sn 0.000 0.335 0.665
Sn 0.000 0.665 0.335
Sn 0.335 0.000 0.665
Sn 0.335 0.665 0.000
Sn 0.665 0.000 0.335
Sn 0.665 0.335 0.000

Values from the calculation:
Final energy in eV per atom: -3.47
Crystal system: trigonal



Entry 8:
VASP calculation (PBE-GGA) on a geometry-optimized CsTl2IrAu structure.

a b c (Å): 5.303 5.303 5.552
angles (deg): 90.00 90.00 90.00
Positions (direct):
Cs 0.000 0.000 0.000
Tl 0.000 0.500 0.500
Tl 0.500 0.000 0.500
Ir 0.500 0.500 0.500
Au 0.500 0.500 0.000

Values from the calculation:
Final energy in eV per atom: -3.53
Crystal system: tetragonal